Ho2ErRu2 | PBE | relaxed

## Properties
- V: 115.0 Å³/cell
- Space-group type: No. 65
- Magnetic moment: 0.0 Bohr magnetons per cell
- D(E_F): 0.71 states/eV/atom
- Total energy: -6.81 eV per atom

Lattice parameters (Å, degrees): 3.3589 3.3809 10.2626 80.52 90.00 90.00
With the nearest neighbours (Å) after each atom.
Fractional coordinates of all 5 atoms:
Ho: 0.0000 0.1649 0.6701  4 Ru 2.85
Ho: 0.0000 0.8351 0.3299  4 Ru 2.85
Er: 0.0000 0.0000 0.0000  8 Ru 2.97
Ru: 0.5000 0.4124 0.1752  4 Ho 2.85, 4 Er 2.97
Ru: 0.5000 0.5876 0.8248  4 Ho 2.85, 4 Er 2.97